Record 1
Sm2B13 (PBE, relaxed); total energy = -89.6 eV per cell; size of the total moment = 0.00 Bohr magnetons per cell; SG = No. 166
1.0
-1.765 1.677 5.144
4.396 -0.484 3.582
2.065 5.222 0.922
B Sm
13 2
direct
0.004 0.326 0.004
0.240 0.833 0.833
0.167 0.760 0.167
0.833 0.240 0.833
0.760 0.167 0.167
0.326 0.004 0.004
0.500 0.500 0.500
0.996 0.674 0.996
0.996 0.996 0.674
0.833 0.833 0.240
0.004 0.004 0.326
0.674 0.996 0.996
0.167 0.167 0.760
0.707 0.707 0.707
0.293 0.293 0.293

Record 2
Al3GaNi4 (PBE, relaxed); total energy = -41.2 eV per cell; size of the total moment = 0.01 Bohr magnetons per cell; SG = No. 146
1.0
3.276 1.892 2.670
-3.276 1.892 2.670
0.000 -3.783 2.670
Al Ni Ga
3 4 1
direct
0.344 0.655 0.157
0.157 0.344 0.655
0.655 0.157 0.344
0.355 0.854 0.644
0.644 0.355 0.854
0.147 0.147 0.147
0.854 0.644 0.355
0.844 0.844 0.844

Record 3
HfZrCoB (PBE, relaxed); energy above the lowest structure with this stoichiometry = 0.000 eV per atom; size of the total moment = 0.41 Bohr magnetons per cell; SG = No. 216
1.0
0.000 3.070 3.070
3.070 0.000 3.070
3.070 3.070 0.000
Co B Zr Hf
1 1 1 1
direct
0.750 0.750 0.750
0.000 0.000 0.000
0.250 0.250 0.250
0.500 0.500 0.500

Record 4
RbNdNO (PBE, relaxed); energy above the lowest structure with this stoichiometry = 0.000 eV per atom; size of the total moment = 1.99 Bohr magnetons per cell; SG = No. 26
1.0
-2.070 -3.585 0.000
0.000 0.000 6.405
-6.593 3.806 0.000
N Rb O Nd
2 2 2 2
direct
0.000 0.938 0.293
0.000 0.438 0.707
0.000 0.973 0.671
0.000 0.473 0.329
0.500 0.844 0.893
0.500 0.344 0.107
0.500 0.000 0.155
0.500 0.500 0.845

Record 5
Nb2PbO6 (PBE, relaxed); energy above the lowest structure with this stoichiometry = 0.071 eV per atom; size of the total moment = 0.01 Bohr magnetons per cell; SG = No. 12
1.0
-1.522 7.003 4.038
-3.914 7.166 1.001
-4.713 -7.812 3.294
Nb O Pb
4 12 2
direct
0.385 0.385 0.633
0.830 0.830 0.864
0.170 0.170 0.136
0.615 0.615 0.367
0.331 0.331 0.802
0.082 0.082 0.938
0.918 0.918 0.062
0.690 0.690 0.571
0.282 0.282 0.124
0.496 0.496 0.347
0.718 0.718 0.876
0.886 0.886 0.696
0.669 0.669 0.198
0.504 0.504 0.653
0.310 0.310 0.429
0.114 0.114 0.304
0.115 0.115 0.726
0.885 0.885 0.274

Record 6
PmSmTc3 (PBE, relaxed); energy of formation from the pure elements = 1.23 eV/atom; size of the total moment = 5.67 Bohr magnetons per cell; SG = No. 167
1.0
-4.405 3.844 1.009
2.248 2.380 4.948
2.553 4.701 -2.565
Sm Tc Pm
2 6 2
direct
0.500 0.500 0.500
0.000 0.000 0.000
0.250 0.902 0.598
0.098 0.402 0.750
0.750 0.098 0.402
0.598 0.250 0.902
0.402 0.750 0.098
0.902 0.598 0.250
0.750 0.750 0.750
0.250 0.250 0.250